Entry 1:
Below is a geometry-optimized Cs2BaNi structure, with properties calculated at the PBE level. Values from VASP.

Calculated values
SG: Fm-3m, No. 225
Calculated formation energy (eV per atom): 0.7970
Fermi-level density of states (states/eV/f.u.): 3.90

```
&SYSTEM
  ibrav = 0, nat = 4, ntyp = 3
/
ATOMIC_SPECIES
Cs 132.91 Cs.upf
Ba 137.33 Ba.upf
Ni 58.69 Ni.upf
CELL_PARAMETERS angstrom
0.000 4.565 4.565
4.565 0.000 4.565
4.565 4.565 0.000
ATOMIC_POSITIONS crystal
Cs 0.250 0.250 0.250
Cs 0.750 0.750 0.750
Ba 0.000 0.000 0.000
Ni 0.500 0.500 0.500
```

Entry 2:
Below is a geometry-optimized LiHg4Pb structure, with properties calculated at the PBE level. Values from VASP.

Calculated values
SG: Pm, No. 6
Calculated formation energy (eV per atom): -0.0258
Fermi-level density of states (states/eV/f.u.): 2.98

```
&SYSTEM
  ibrav = 0, nat = 6, ntyp = 3
/
ATOMIC_SPECIES
Li 6.94 Li.upf
Hg 200.59 Hg.upf
Pb 207.20 Pb.upf
CELL_PARAMETERS angstrom
4.585 0.000 0.000
0.000 4.592 0.000
0.000 0.000 7.635
ATOMIC_POSITIONS crystal
Li 0.000 0.000 0.000
Hg 0.001 0.500 0.208
Hg 0.001 0.500 0.791
Hg 0.500 0.000 0.208
Hg 0.500 0.000 0.791
Pb 0.501 0.500 0.500
```

Entry 3:
Below is a geometry-optimized TmCu2I6 structure, with properties calculated at the PBE level. Values from VASP.

Calculated values
SG: C2/c, No. 15
Formation energy (no corrections) (eV/atom): -0.643
Fermi-level density of states (states/eV/f.u.): 7.02

```
&SYSTEM
  ibrav = 0, nat = 18, ntyp = 3
/
ATOMIC_SPECIES
Tm 168.93 Tm.upf
Cu 63.55 Cu.upf
I 126.90 I.upf
CELL_PARAMETERS angstrom
8.129 -6.383 0.000
8.129 6.383 0.000
-0.979 0.000 7.293
ATOMIC_POSITIONS crystal
Tm 0.091 0.909 0.750
Tm 0.909 0.091 0.250
Cu 0.305 0.462 0.700
Cu 0.462 0.305 0.200
Cu 0.538 0.695 0.800
Cu 0.695 0.538 0.300
I 0.032 0.184 0.611
I 0.133 0.632 0.872
I 0.184 0.032 0.111
I 0.281 0.468 0.357
I 0.368 0.867 0.628
I 0.468 0.281 0.857
I 0.532 0.719 0.143
I 0.632 0.133 0.372
I 0.719 0.532 0.643
I 0.816 0.968 0.889
I 0.867 0.368 0.128
I 0.968 0.816 0.389
```

Entry 4:
Below is a geometry-optimized KBaTe2 structure, with properties calculated at the PBE level. Values from VASP.

Calculated values
SG: Cm, No. 8
Formation energy (no corrections) (eV/atom): -1.132
Fermi-level density of states (states/eV/f.u.): 2.77

```
&SYSTEM
  ibrav = 0, nat = 4, ntyp = 3
/
ATOMIC_SPECIES
K 39.10 K.upf
Ba 137.33 Ba.upf
Te 127.60 Te.upf
CELL_PARAMETERS angstrom
6.443 -2.355 0.000
6.443 2.355 0.000
-0.858 0.000 5.340
ATOMIC_POSITIONS crystal
K 0.000 0.000 0.000
Ba 0.240 0.240 0.508
Te 0.521 0.521 0.525
Te 0.734 0.734 0.991
```

Entry 5:
Below is a geometry-optimized RbBiPd2Pb2 structure, with properties calculated at the PBE level. Values from VASP.

Calculated values
SG: P4/mmm, No. 123
Calculated formation energy (eV per atom): -0.1252
Fermi-level density of states (states/eV/f.u.): 3.38

```
&SYSTEM
  ibrav = 0, nat = 6, ntyp = 4
/
ATOMIC_SPECIES
Rb 85.47 Rb.upf
Bi 208.98 Bi.upf
Pd 106.42 Pd.upf
Pb 207.20 Pb.upf
CELL_PARAMETERS angstrom
5.232 0.000 0.000
0.000 5.232 0.000
0.000 0.000 7.374
ATOMIC_POSITIONS crystal
Rb 0.000 0.000 0.000
Bi 0.000 0.000 0.500
Pd 0.000 0.500 0.500
Pd 0.500 0.000 0.500
Pb 0.500 0.500 0.282
Pb 0.500 0.500 0.718
```

Entry 6:
Below is a geometry-optimized Mg5Tc4 structure, with properties calculated at the PBE level. Values from VASP.

Calculated values
SG: P6_3/mcm, No. 193
Calculated formation energy (eV per atom): 0.3938
Fermi-level density of states (states/eV/f.u.): 7.32

```
&SYSTEM
  ibrav = 0, nat = 18, ntyp = 2
/
ATOMIC_SPECIES
Mg 24.30 Mg.upf
Tc 98.00 Tc.upf
CELL_PARAMETERS angstrom
8.070 0.000 0.000
-4.035 6.989 0.000
0.000 0.000 5.462
ATOMIC_POSITIONS crystal
Mg 0.000 0.373 0.250
Mg 0.000 0.627 0.750
Mg 0.333 0.667 0.000
Mg 0.333 0.667 0.500
Mg 0.373 0.000 0.250
Mg 0.373 0.373 0.750
Mg 0.627 0.000 0.750
Mg 0.627 0.627 0.250
Mg 0.667 0.333 0.000
Mg 0.667 0.333 0.500
Tc 0.000 0.000 0.000
Tc 0.000 0.000 0.500
Tc 0.000 0.273 0.750
Tc 0.000 0.727 0.250
Tc 0.273 0.000 0.750
Tc 0.273 0.273 0.250
Tc 0.727 0.000 0.250
Tc 0.727 0.727 0.750
```